! Cs2DyHgBr6 | Alexandria via LeMat-Bulk | PBE | relaxed; values from VASP
! M_tot: 0.00 μB/cell
! VASP energy: -3.167 eV per atom
! formation energy (no corrections): -1502 meV/atom
! calculated volume: 810.3 Å³ per cell
! density of states at the Fermi level: 0.433 states/eV per atom
! SG: No. 59
&SYSTEM
  ibrav = 0, nat = 20, ntyp = 4
/
ATOMIC_SPECIES
Cs 132.91 Cs.upf
Dy 162.50 Dy.upf
Hg 200.59 Hg.upf
Br 79.90 Br.upf
ATOMIC_POSITIONS crystal
Cs 0.250 0.000 0.249
Cs 0.250 0.500 0.249
Cs 0.750 0.000 0.751
Cs 0.750 0.500 0.751
Dy 0.250 0.250 0.753
Dy 0.750 0.750 0.247
Hg 0.250 0.750 0.747
Hg 0.750 0.250 0.253
Br 0.011 0.250 0.515
Br 0.012 0.250 0.991
Br 0.250 0.012 0.753
Br 0.250 0.488 0.753
Br 0.488 0.250 0.991
Br 0.489 0.250 0.515
Br 0.511 0.750 0.485
Br 0.512 0.750 0.009
Br 0.750 0.512 0.247
Br 0.750 0.988 0.247
Br 0.988 0.750 0.009
Br 0.989 0.750 0.485
CELL_PARAMETERS angstrom
8.309 0.000 0.000
0.000 11.730 0.000
0.000 0.000 8.314

! LiYBOs2 | Alexandria via LeMat-Bulk | PBE | relaxed; values from VASP
! M_tot: 0.00 μB/cell
! VASP energy: -7.640 eV per atom
! calculated volume: 75.7 Å³ per cell
! density of states at the Fermi level: 1.007 states/eV per atom
! E_form: -0.14 eV per atom
! SG: No. 123
&SYSTEM
  ibrav = 0, nat = 5, ntyp = 4
/
ATOMIC_SPECIES
Li 6.94 Li.upf
Y 88.91 Y.upf
B 10.81 B.upf
Os 190.23 Os.upf
ATOMIC_POSITIONS crystal
Li 0.000 0.000 0.000
Y 0.500 0.500 0.000
B 0.000 0.000 0.500
Os 0.000 0.500 0.500
Os 0.500 0.000 0.500
CELL_PARAMETERS angstrom
4.188 0.000 0.000
0.000 4.188 0.000
0.000 0.000 4.315

> Which value of VASP energy does entry 1 give?

-3.167 eV per atom

> Which of these has the lowest density of states at the Fermi level?

Cs2DyHgBr6